# YZr2Se

An optimized crystal structure of YZr2Se (PBE, the Alexandria database).

extended XYZ file:
```
4
Lattice="-2.984 8.848 -0.859 -5.885 7.093 -1.729 -5.135 7.673 1.641" Properties=species:S:1:pos:R:3 pbc="T T T"
Se -3.501 5.904 -0.237
Y -10.503 17.711 -0.711
Zr -7.213 12.163 -0.488
Zr -13.793 23.259 -0.933
```

Output
Formation energy from raw total energies ... -492 meV/atom
Calculated volume ... 24.30 A^3/atom
SG ... R-3m